[1]
Cs2Cu2Pb: PBEsol geometry, meta-GGA SCAN.

a b c (Å): 3.473 3.473 23.982
angles (deg): 90.00 90.00 90.00
Space group I4/mmm (No. 139)
Unique sites:
Cs (0.000, 0.000, 0.126) [4 per cell]
Cu (0.000, 0.500, 0.250) [4 per cell]
Pb (0.000, 0.000, 0.500) [2 per cell]

Properties
As for the density of states at the Fermi level: 0.619 states/eV per atom. As for the formation energy: 1.4 eV/f.u. For the raw total energy, the calculation gives -36.09 eV per atom.

***

[2]
YMg2Sc: PBEsol geometry, meta-GGA SCAN.

a b c (Å): 3.657 3.657 7.357
angles (deg): 90.00 90.00 90.00
Space group P4/mmm (No. 123)
Unique sites:
Y (0.000, 0.000, 0.000) [1 per cell]
Mg (0.500, 0.500, 0.268) [2 per cell]
Sc (0.000, 0.000, 0.500) [1 per cell]

Properties
As for the density of states at the Fermi level: 1.088 states/eV per atom. The energy above the most stable polymorph in this dataset is 0 kJ/mol of formula units. As for the formation energy: -0.3 eV/f.u. For the raw total energy, the calculation gives -13.09 eV per atom.

***

[3]
MoSeNO2: PBEsol geometry, meta-GGA SCAN.

a b c (Å): 3.763 3.763 4.089
angles (deg): 90.00 90.00 90.00
Space group P4/mmm (No. 123)
Unique sites:
Mo (0.000, 0.000, 0.000) [1 per cell]
Se (0.500, 0.500, 0.500) [1 per cell]
N (0.500, 0.500, 0.000) [1 per cell]
O (0.000, 0.500, 0.500) [2 per cell]

Properties
As for the density of states at the Fermi level: 0.298 states/eV per atom. The calculation puts the energy relative to the elements, uncorrected at 613 meV per atom. For the raw total energy, the calculation gives -14.73 eV per atom.

***

[4]
CePrMg2: PBEsol geometry, meta-GGA SCAN.

a b c (Å): 7.642 7.642 7.642
angles (deg): 90.00 90.00 90.00
Space group Fm-3m (No. 225)
Unique sites:
Ce (0.000, 0.000, 0.000) [4 per cell]
Pr (0.000, 0.000, 0.500) [4 per cell]
Mg (0.250, 0.250, 0.250) [8 per cell]

Properties
As for the density of states at the Fermi level: 1.468 states/eV per atom. As for the formation energy: -0.1 eV/f.u. For the raw total energy, the calculation gives -24.48 eV per atom.

***

[5]
Co2CuAu: PBEsol geometry, meta-GGA SCAN.

a b c (Å): 8.424 2.643 4.548
angles (deg): 90.00 100.85 90.00
Space group Cm (No. 8)
Unique sites:
Co (0.000, 0.000, 0.000) [2 per cell]
Co (0.239, 0.500, 0.202) [2 per cell]
Cu (0.251, 0.000, 0.748) [2 per cell]
Au (0.495, 0.000, 0.492) [2 per cell]

Properties
As for the density of states at the Fermi level: 0.643 states/eV per atom. As for the formation energy: 0.6 eV/f.u. For the raw total energy, the calculation gives -29.58 eV per atom.

***

[6]
ZnTeSe2: PBEsol geometry, meta-GGA SCAN.

a b c (Å): 3.740 7.009 7.460
angles (deg): 90.00 90.00 90.00
Space group Cmmm (No. 65)
Unique sites:
Zn (0.000, 0.000, 0.000) [2 per cell]
Te (0.000, 0.000, 0.500) [2 per cell]
Se (0.000, 0.500, 0.223) [4 per cell]

Properties
As for the density of states at the Fermi level: 0.398 states/eV per atom. The calculation puts the energy relative to the elements, uncorrected at 8 meV per atom. For the raw total energy, the calculation gives -22.72 eV per atom.

***

The highest raw total energy belongs to which entry?
YMg2Sc

***

Which of these has the lowest raw total energy?
Cs2Cu2Pb

***

Look up the raw total energy of the sixth one.
-22.72 eV per atom

***

What is the raw total energy in the second record?
-13.09 eV per atom